Record 1
# ZrNiSb2 PBE optimized geometry
data_ZrNiSb2
_space_group_name_H-M_alt 'P 1 2/m 1'
_space_group_IT_number 10
_space_group_name_Hall '-P 2y'
_cell_length_a 3.429
_cell_length_b 4.025
_cell_length_c 6.166
_cell_angle_alpha 90.00
_cell_angle_beta 90.30
_cell_angle_gamma 90.00
loop_
_atom_site_label
_atom_site_fract_x
_atom_site_fract_y
_atom_site_fract_z
_atom_site_occupancy
Zr1 0.000 0.000 0.000 1
Ni1 0.500 0.000 0.500 1
Sb1 0.498 0.500 0.749 1
# Uncorrected formation energy, eV per atom: -0.219
# Total DFT energy (no corrections), eV/atom: -5.86

Record 2
# ZrNiSb2 PBE optimized geometry
data_ZrNiSb2
_space_group_name_H-M_alt 'P 4 m m'
_space_group_IT_number 99
_space_group_name_Hall 'P 4 -2'
_cell_length_a 3.178
_cell_length_b 3.178
_cell_length_c 9.266
_cell_angle_alpha 90.00
_cell_angle_beta 90.00
_cell_angle_gamma 90.00
loop_
_atom_site_label
_atom_site_fract_x
_atom_site_fract_y
_atom_site_fract_z
_atom_site_occupancy
Zr1 0.000 0.000 0.000 1
Ni1 0.500 0.500 0.178 1
Sb1 0.000 0.000 0.342 1
Sb2 0.500 0.500 0.756 1
# Uncorrected formation energy, eV per atom: -0.271
# Total DFT energy (no corrections), eV/atom: -5.91

Record 3
# Zr2Ni2Sb PBE optimized geometry
data_Zr2Ni2Sb
_space_group_name_H-M_alt 'P 4/m b m'
_space_group_IT_number 127
_space_group_name_Hall '-P 4 2ab'
_cell_length_a 6.870
_cell_length_b 6.870
_cell_length_c 3.712
_cell_angle_alpha 90.00
_cell_angle_beta 90.00
_cell_angle_gamma 90.00
loop_
_atom_site_label
_atom_site_fract_x
_atom_site_fract_y
_atom_site_fract_z
_atom_site_occupancy
Zr1 0.168 0.332 0.000 1
Ni1 0.126 0.626 0.500 1
Sb1 0.000 0.000 0.500 1
# Uncorrected formation energy, eV per atom: -0.564
# Polymorph energy (0 for the lowest one), eV/atom: 0.000
# Total DFT energy (no corrections), eV/atom: -7.12